VASP calculation (PBE) on a relaxed RbTl2TeO6 crystal.

Geometry as POSCAR:
```
RbTl2TeO6
1.0
-3.9455 4.2325 1.0156
-5.4681 -0.5177 -2.0887
-4.7041 -1.3704 4.4026
Rb Tl Te O
1 2 1 6
Cartesian
-10.3601 2.1373 1.8046
-6.9013 1.4358 1.1857
-4.6728 -1.3177 4.3073
-3.1608 1.1995 -0.2879
-4.5494 1.9400 0.9536
-7.3526 0.2723 -0.8864
-7.9030 3.5937 0.7512
-8.8614 -0.0052 2.4227
-7.4124 1.7289 3.8513
-6.3006 -0.5407 2.9758
```

## Properties
Fermi-level density of states (states/eV per cell): 2.37
Calculated total energy (eV per cell): -48.1
ΔE_f (raw) (eV/atom): -0.9505
Space-group type: R3